Entry 1:
## Pa2InO7 (GGA-PBE)

Data for an optimized crystal structure of Pa2InO7.

## Properties
The value obtained for the uncorrected formation energy is -26.626 eV per formula unit.

abc: 3.8451 3.8451 9.6844
angles: 90.00 90.00 120.00
Positions (direct):
Pa 0.0000 0.0000 0.0000
Pa 0.3333 0.6667 0.6460
In 0.6667 0.3333 0.3328
O 0.0000 0.0000 0.2383
O 0.0000 0.0000 0.7127
O 0.3333 0.6667 0.0931
O 0.3333 0.6667 0.4128
O 0.3333 0.6667 0.8633
O 0.6667 0.3333 0.5731
O 0.6667 0.3333 0.9806

***

Entry 2:
## Y3MgAl (GGA-PBE)

Data for an optimized crystal structure of Y3MgAl.

## Properties
The value obtained for the formation energy is 267 meV/atom.

abc: 5.5530 5.5530 5.5530
angles: 90.00 90.00 90.00
Positions (direct):
Y 0.0000 0.0000 0.5000
Y 0.0000 0.5000 0.0000
Y 0.5000 0.0000 0.0000
Mg 0.5000 0.5000 0.5000
Al 0.0000 0.0000 0.0000

***

Entry 3:
## Al2Ni5 (GGA-PBE)

Data for an optimized crystal structure of Al2Ni5.

## Properties
The value obtained for the formation energy is -392 meV/atom.

abc: 6.2689 6.2689 5.0972
angles: 90.00 90.00 124.11
Positions (direct):
Al 0.0939 0.3094 0.0000
Al 0.3094 0.0939 0.5000
Al 0.6906 0.9061 0.5000
Al 0.9061 0.6906 0.0000
Ni 0.0978 0.3313 0.5000
Ni 0.2691 0.7309 0.2500
Ni 0.2691 0.7309 0.7500
Ni 0.3313 0.0978 0.0000
Ni 0.5000 0.5000 0.2500
Ni 0.5000 0.5000 0.7500
Ni 0.6687 0.9022 0.0000
Ni 0.7309 0.2691 0.2500
Ni 0.7309 0.2691 0.7500
Ni 0.9022 0.6687 0.5000

***

Number 1: final energy -8.306 eV per atom. Number 2: final energy -4.679 eV per atom. Number 3: final energy -5.591 eV per atom.